{"formula": "LiCoAsO4", "functional": "PBE+U", "state": "relaxed", "dft_energy_ev_per_atom": -5.9559, "total_magnetization_mub_per_atom": 0.4293, "n_ef_per_ev_fu": 0.0, "lattice": [[4.963, 0.000, 0.001], [0.000, 6.050, 0.000], [-0.002, 0.000, 10.593]], "species": ["Co", "O", "Li", "O", "O", "O", "O", "O", "O", "As", "O", "As", "O", "O", "Li", "As", "O", "O", "Li", "Co", "As", "O", "O", "Co", "Co", "Li", "O", "O"], "fractional_positions": [[0.009, 0.750, 0.723], [0.720, 0.250, 0.597], [0.000, 0.500, 0.000], [0.276, 0.030, 0.171], [0.207, 0.250, 0.447], [0.780, 0.250, 0.097], [0.776, 0.970, 0.329], [0.220, 0.750, 0.903], [0.276, 0.470, 0.171], [0.564, 0.750, 0.905], [0.224, 0.030, 0.671], [0.936, 0.750, 0.405], [0.224, 0.470, 0.671], [0.724, 0.970, 0.829], [0.000, 0.000, 0.000], [0.436, 0.250, 0.095], [0.707, 0.750, 0.053], [0.793, 0.750, 0.553], [0.500, 0.500, 0.500], [0.509, 0.250, 0.777], [0.064, 0.250, 0.595], [0.293, 0.250, 0.947], [0.280, 0.750, 0.403], [0.991, 0.250, 0.277], [0.491, 0.750, 0.223], [0.500, 0.000, 0.500], [0.776, 0.530, 0.329], [0.724, 0.530, 0.829]]}